Below is MgTl2PtCl6 after structural relaxation, with properties calculated at the PBE level.

**Calculated total energy**: -3.2868 eV per atom
**Space-group type**: No. 166
**E_form (uncorrected)**: -0.9420 eV per atom
**Magnetic moment**: 0.183 μB per atom

Cell and atoms, written as extended XYZ:
```
20
Lattice="3.565 2.058 12.141 -3.565 2.058 12.141 0.000 -4.116 12.141" Properties=species:S:1:pos:R:3 pbc="T T T"
Mg 0.000 0.000 3.078
Mg 0.000 0.000 33.346
Tl 0.000 0.000 7.308
Tl 0.000 0.000 13.936
Tl 0.000 0.000 22.488
Tl 0.000 0.000 29.115
Pt 0.000 0.000 0.000
Pt 0.000 0.000 18.212
Cl 0.000 -2.131 10.571
Cl -1.846 1.066 10.571
Cl -1.795 -1.036 19.698
Cl 0.000 -2.073 16.726
Cl -1.795 1.036 16.726
Cl -1.846 -1.066 25.853
Cl 1.846 1.066 10.571
Cl 1.795 -1.036 19.698
Cl 0.000 2.073 19.698
Cl 1.795 1.036 16.726
Cl 1.846 -1.066 25.853
Cl 0.000 2.131 25.853
```